ZrH | PBE-GGA | optimized geometry

The structure in CIF format:
```
data_ZrH
_symmetry_space_group_name_H-M 'F m -3 m'
_symmetry_Int_Tables_number 225
_symmetry_space_group_name_Hall '-F 4 2 3'
_cell_length_a 4.5882
_cell_length_b 4.5882
_cell_length_c 4.5882
_cell_angle_alpha 90.00
_cell_angle_beta 90.00
_cell_angle_gamma 90.00
loop_
_atom_site_label
_atom_site_type_symbol
_atom_site_fract_x
_atom_site_fract_y
_atom_site_fract_z
Zr1 Zr 0.0000 0.0000 0.0000
H1 H 0.0000 0.0000 0.5000
```

Results
energy = -6.2756 eV/atom